1.
First-principles (PBE-GGA) data for a relaxed structure of Na3MgIn, as listed in Alexandria.

```
5
Lattice="-2.333 3.789 -3.874 -5.266 -2.581 0.647 -1.280 3.713 4.403" Properties=species:S:1:pos:R:3 pbc="T T T"
Na -1.167 1.895 -1.937
Na -0.640 1.857 2.201
Na -2.633 -1.291 0.323
Mg -4.439 2.460 0.588
In 0.000 0.000 0.000
```

## Properties
* ΔE_f: 326 meV per atom
* excess energy over the best structure of this formula in the dataset: 183 meV per atom
* density of states at the Fermi level: 3.75 states/eV per cell

=====

2.
First-principles (PBE-GGA) data for a relaxed structure of Na2MgIn2, as listed in Alexandria.

```
10
Lattice="7.764 0.000 0.000 0.000 7.764 0.000 0.000 0.000 4.771" Properties=species:S:1:pos:R:3 pbc="T T T"
In 4.948 1.066 0.000
In 1.066 2.816 0.000
In 6.698 4.948 0.000
In 2.816 6.698 0.000
Na 5.169 6.477 2.385
Na 6.477 2.595 2.385
Na 1.287 5.169 2.385
Na 2.595 1.287 2.385
Mg 3.882 3.882 0.000
Mg 0.000 0.000 0.000
```

## Properties
* ΔE_f: -18 meV per atom
* excess energy over the best structure of this formula in the dataset: 55 meV per atom
* density of states at the Fermi level: 5.66 states/eV per cell

=====

3.
First-principles (PBE-GGA) data for a relaxed structure of NaMg3In6, as listed in Alexandria.

```
20
Lattice="7.580 0.000 0.000 0.000 8.254 -2.730 0.000 -0.077 8.368" Properties=species:S:1:pos:R:3 pbc="T T T"
In 1.056 2.281 6.061
In 1.459 5.398 5.863
In 2.734 6.446 0.511
In 6.524 5.897 -0.423
In 2.331 1.309 3.044
In 4.846 1.731 5.127
In 5.249 6.868 2.594
In 3.319 1.479 0.071
In 4.260 6.698 5.567
In 0.470 5.568 2.890
In 7.109 2.610 2.748
In 6.121 2.779 -0.225
Mg 0.000 -0.038 4.184
Mg 5.066 0.331 2.320
Mg 3.790 4.127 -1.365
Mg 6.303 4.420 5.139
Mg 1.276 3.757 0.499
Mg 2.513 7.846 3.318
Na 0.000 0.000 0.000
Na 3.790 4.089 2.819
```

## Properties
* ΔE_f: -38 meV per atom
* excess energy over the best structure of this formula in the dataset: 0 meV per atom
* density of states at the Fermi level: 9.12 states/eV per cell

=====

4.
First-principles (PBE-GGA) data for a relaxed structure of NaMg6In4, as listed in Alexandria.

```
11
Lattice="4.517 0.000 0.000 0.000 8.535 0.000 0.000 -4.268 7.392" Properties=species:S:1:pos:R:3 pbc="T T T"
Mg 0.000 6.006 3.467
Mg 0.000 2.529 3.467
Mg 2.259 -1.657 5.884
Mg 0.000 4.268 0.457
Mg 2.259 1.657 5.884
Mg 2.259 0.000 3.015
In 2.259 2.536 1.464
In 0.000 0.000 4.928
In 2.259 5.999 1.464
In 2.259 4.268 4.463
Na 0.000 0.000 0.000
```

## Properties
* ΔE_f: -54 meV per atom
* density of states at the Fermi level: 4.67 states/eV per cell

=====

5.
First-principles (PBE-GGA) data for a relaxed structure of NaMg2In8, as listed in Alexandria.

```
11
Lattice="-5.158 2.130 1.045 -1.020 -8.851 -2.816 5.752 2.834 6.796" Properties=species:S:1:pos:R:3 pbc="T T T"
In -1.488 -1.207 2.516
In 1.063 -2.679 2.508
In 1.821 1.566 5.399
In 0.966 0.672 2.522
In -0.938 -2.614 -0.181
In -2.247 -5.453 -0.375
In 0.513 -1.273 5.205
In -1.392 -4.558 2.502
Na -2.579 1.065 0.522
Mg 3.549 -0.967 3.669
Mg 1.183 -5.049 0.311
```

## Properties
* ΔE_f: -4 meV per atom
* excess energy over the best structure of this formula in the dataset: 56 meV per atom
* density of states at the Fermi level: 4.69 states/eV per cell

=====

6.
First-principles (PBE-GGA) data for a relaxed structure of Na3MgIn6, as listed in Alexandria.

```
20
Lattice="-2.711 1.410 -4.257 -7.527 -2.374 4.008 2.092 11.311 2.414" Properties=species:S:1:pos:R:3 pbc="T T T"
In -2.667 5.870 -1.196
In -1.689 3.011 -2.766
In -3.592 7.120 3.033
In -5.480 4.478 3.360
In -8.054 6.174 2.336
In -6.119 8.871 1.997
In -6.458 7.337 4.930
In -6.357 0.328 -0.681
In -1.790 10.020 2.846
In -2.028 1.476 0.167
In -0.092 4.173 -0.172
In -4.554 3.227 -0.869
Na -4.789 1.522 1.942
Na -3.357 8.825 0.222
Na -7.358 3.289 0.937
Na -6.739 -1.241 2.268
Na -0.788 7.059 1.227
Na -1.407 11.588 -0.104
Mg -2.812 4.306 1.604
Mg -5.335 6.041 0.560
```

## Properties
* ΔE_f: -94 meV per atom
* density of states at the Fermi level: 6.74 states/eV per cell

=====

7.
First-principles (PBE-GGA) data for a relaxed structure of Na3MgIn8, as listed in Alexandria.

```
12
Lattice="-3.095 -6.267 3.907 1.444 -1.102 -7.799 7.429 2.120 2.108" Properties=species:S:1:pos:R:3 pbc="T T T"
In -1.379 -4.542 2.310
In 4.886 -2.522 -2.132
In 0.392 -2.784 0.668
In 3.126 -0.302 -5.588
In 6.246 1.377 -0.423
In 6.037 0.365 -5.648
In 2.409 -1.252 -1.048
In 7.584 1.198 -3.087
Na 4.385 -1.819 1.585
Na 4.436 0.509 -2.845
Na 1.393 -3.430 -3.369
Mg 0.000 0.000 0.000
```

## Properties
* ΔE_f: 109 meV per atom
* excess energy over the best structure of this formula in the dataset: 154 meV per atom
* density of states at the Fermi level: 5.98 states/eV per cell

=====

8.
First-principles (PBE-GGA) data for a relaxed structure of NaMg12In6, as listed in Alexandria.

```
19
Lattice="-1.478 6.489 -5.052 -7.228 -4.157 0.536 1.312 3.269 7.577" Properties=species:S:1:pos:R:3 pbc="T T T"
In -4.713 1.256 4.392
In -1.480 2.958 4.112
In -5.915 2.644 -1.051
In -2.682 4.346 -1.331
In -5.160 -0.243 1.078
In -2.234 5.844 1.984
Mg -4.769 4.037 -3.320
Mg -4.892 5.038 0.620
Mg -6.977 -0.051 -1.173
Mg -5.906 -1.288 3.677
Mg -2.626 1.564 6.381
Mg -3.195 1.362 -0.692
Mg -2.503 0.563 2.442
Mg -6.319 2.396 2.007
Mg -0.417 5.653 4.235
Mg -1.489 6.890 -0.616
Mg -1.076 3.205 1.055
Mg -4.200 4.239 3.754
Na 0.000 0.000 0.000
```

## Properties
* ΔE_f: 39 meV per atom
* excess energy over the best structure of this formula in the dataset: 57 meV per atom
* density of states at the Fermi level: 8.33 states/eV per cell